{
  "formula": "LiVSO4F3",
  "functional": "PBE+U",
  "state": "optimized geometry",
  "dft_energy_ev_per_atom": -5.920,
  "sg": "No. 33",
  "crystal_system": "orthorhombic",
  "cell": [[-4.772, -3.858, 3.867], [0.449, -5.652, -5.085], [7.822, -4.249, 5.414]],
  "species": ["F", "F", "F", "F", "F", "F", "F", "F", "F", "F", "F", "F", "O", "O", "O", "O", "O", "O", "O", "O", "O", "O", "O", "O", "O", "O", "O", "O", "S", "S", "S", "S", "Li", "Li", "Li", "Li", "V", "V", "V", "V"],
  "fractional_positions": [[0.777, 0.649, 0.000], [0.002, 0.209, 0.672], [0.998, 0.791, 0.172], [0.955, 0.351, 0.341], [0.455, 0.149, 0.341], [0.498, 0.709, 0.172], [0.045, 0.649, 0.841], [0.223, 0.351, 0.500], [0.545, 0.851, 0.841], [0.277, 0.851, 0.000], [0.502, 0.291, 0.672], [0.723, 0.149, 0.500], [0.215, 0.310, 0.906], [0.156, 0.532, 0.073], [0.381, 0.305, 0.113], [0.285, 0.810, 0.406], [0.054, 0.029, 0.450], [0.446, 0.529, 0.950], [0.844, 0.468, 0.573], [0.656, 0.968, 0.073], [0.715, 0.190, 0.906], [0.785, 0.690, 0.406], [0.344, 0.032, 0.573], [0.946, 0.971, 0.950], [0.554, 0.471, 0.450], [0.881, 0.195, 0.113], [0.119, 0.805, 0.613], [0.619, 0.695, 0.613], [0.798, 0.094, 0.012], [0.702, 0.594, 0.512], [0.298, 0.406, 0.012], [0.202, 0.906, 0.512], [0.239, 0.681, 0.249], [0.739, 0.819, 0.249], [0.261, 0.181, 0.749], [0.761, 0.319, 0.749], [0.032, 0.744, 0.994], [0.468, 0.244, 0.494], [0.532, 0.756, 0.994], [0.968, 0.256, 0.494]]
}